Version one
Material: CoNiSe2
Method: DFT, PBEsol
State: relaxed

Its crystal system is orthorhombic.

Lattice parameters (Å, degrees): 3.1301 3.3862 11.7675 90.00 90.00 90.00
With the nearest neighbours (Å) after each atom.
Space group Imm2 (No. 44)
Unique sites:
Co (0.0000, 0.0000, 0.0000) [2 per cell]  6 Se 2.45-2.52, 2 Ni 2.51
Ni (0.0000, 0.5000, 0.8429) [2 per cell]  4 Se 2.31, 2 Co 2.51
Se (0.0000, 0.0000, 0.5859) [2 per cell]  4 Co 2.52
Se (0.0000, 0.5000, 0.3401) [2 per cell]  4 Ni 2.31, 2 Co 2.45



Version two
Material: CoNiSe2
Method: DFT, PBEsol
State: relaxed

Its crystal system is tetragonal.

Lattice parameters (Å, degrees): 3.1808 3.1808 6.1639 90.00 90.00 90.00
With the nearest neighbours (Å) after each atom.
Space group P4mm (No. 99)
Unique sites:
Co (0.0000, 0.0000, 0.0000) [1 per cell]  5 Se 2.30-2.42
Ni (0.5000, 0.5000, 0.2294) [1 per cell]  5 Se 2.32-2.42
Se (0.0000, 0.0000, 0.3724) [1 per cell]  1 Co 2.30, 4 Ni 2.42
Se (0.5000, 0.5000, 0.8538) [1 per cell]  1 Ni 2.32, 4 Co 2.42



Stability, lowest: version one